#i
A plane-wave DFT calculation with GGA-PBE was carried out for a relaxed CuSbMoAu crystal.

abc: 4.700 4.700 4.700
angles: 60.00 60.00 60.00
Sites, in units of the cell vectors:
Au: 0.250 0.250 0.250
Cu: 0.750 0.750 0.750
Mo: 0.500 0.500 0.500
Sb: 0.000 0.000 0.000

Results
- space group = F-43m



#ii
A plane-wave DFT calculation with GGA-PBE was carried out for a relaxed CuSbMoAu crystal.

abc: 4.600 4.600 4.600
angles: 60.00 60.00 60.00
Sites, in units of the cell vectors:
Au: 0.500 0.500 0.500
Cu: 0.750 0.750 0.750
Mo: 0.250 0.250 0.250
Sb: 0.000 0.000 0.000

Results
- space group = F-43m



Unit: kJ/mol of atoms. Relative energies: #i 23.7; #ii 0.0.